No. 1
VASP calculation (PBE) on crystalline Li4CuCl6 at its relaxed geometry.

```
data_Li4CuCl6
_space_group_name_H-M_alt 'C 1 c 1'
_space_group_IT_number 9
_space_group_name_Hall 'C -2yc'
_cell_length_a 11.5149
_cell_length_b 7.3458
_cell_length_c 12.3348
_cell_angle_alpha 90.00
_cell_angle_beta 105.15
_cell_angle_gamma 90.00
loop_
_atom_site_label
_atom_site_type_symbol
_atom_site_fract_x
_atom_site_fract_y
_atom_site_fract_z
Li1 Li 0.0000 0.0359 0.0000
Li2 Li 0.1588 0.2792 0.3391
Li3 Li 0.3370 0.3758 0.6770
Li4 Li 0.3595 0.0915 0.9746
Cu1 Cu 0.0898 0.2051 0.7464
Cl1 Cl 0.1464 0.4840 0.7010
Cl2 Cl 0.1542 0.2039 0.9325
Cl3 Cl 0.1649 0.0547 0.1969
Cl4 Cl 0.3384 0.2376 0.4955
Cl5 Cl 0.4075 0.3226 0.1260
Cl6 Cl 0.4595 0.2770 0.8603
```

Calculated values
- Formation energy without anion corrections: -1.4081 eV per atom
- Total moment: 0.0953 μB per atom

---

No. 2
VASP calculation (PBE) on crystalline CaAuF2 at its relaxed geometry.

```
data_CaAuF2
_space_group_name_H-M_alt 'R -3 m'
_space_group_IT_number 166
_space_group_name_Hall '-R 3 2"'
_cell_length_a 3.3621
_cell_length_b 3.3621
_cell_length_c 26.9047
_cell_angle_alpha 90.00
_cell_angle_beta 90.00
_cell_angle_gamma 120.00
loop_
_atom_site_label
_atom_site_type_symbol
_atom_site_fract_x
_atom_site_fract_y
_atom_site_fract_z
Ca1 Ca 0.0000 0.0000 0.0000
Au1 Au 0.0000 0.0000 0.5000
F1 F 0.0000 0.0000 0.3737
```

Calculated values
- Formation energy without anion corrections: -2.4634 eV per atom
- Total moment: 0.0000 μB per atom

---

No. 3
VASP calculation (PBE) on crystalline MnNi2Mo at its relaxed geometry.

```
data_MnNi2Mo
_space_group_name_H-M_alt 'I -4 m 2'
_space_group_IT_number 119
_space_group_name_Hall 'I -4 -2'
_cell_length_a 3.6725
_cell_length_b 3.6725
_cell_length_c 7.3152
_cell_angle_alpha 90.00
_cell_angle_beta 90.00
_cell_angle_gamma 90.00
loop_
_atom_site_label
_atom_site_type_symbol
_atom_site_fract_x
_atom_site_fract_y
_atom_site_fract_z
Mn1 Mn 0.0000 0.0000 0.0000
Ni1 Ni 0.0000 0.0000 0.5000
Ni2 Ni 0.0000 0.5000 0.7500
Mo1 Mo 0.0000 0.5000 0.2500
```

Calculated values
- ΔE_f: 0.09 eV per formula unit
- Total moment: 0.5107 μB per atom

---

No. 4
VASP calculation (PBE) on crystalline MgTaAs2 at its relaxed geometry.

```
data_MgTaAs2
_space_group_name_H-M_alt 'R -3 m'
_space_group_IT_number 166
_space_group_name_Hall '-R 3 2"'
_cell_length_a 3.6059
_cell_length_b 3.6059
_cell_length_c 20.6263
_cell_angle_alpha 90.00
_cell_angle_beta 90.00
_cell_angle_gamma 120.00
loop_
_atom_site_label
_atom_site_type_symbol
_atom_site_fract_x
_atom_site_fract_y
_atom_site_fract_z
Mg1 Mg 0.0000 0.0000 0.0000
Ta1 Ta 0.0000 0.0000 0.5000
As1 As 0.0000 0.0000 0.2459
```

Calculated values
- ΔE_f: -1.55 eV per formula unit
- Total moment: 0.0000 μB per atom

---

No. 5
VASP calculation (PBE) on crystalline RbVCo2Ge at its relaxed geometry.

```
data_RbVCo2Ge
_space_group_name_H-M_alt 'P 4/m m m'
_space_group_IT_number 123
_space_group_name_Hall '-P 4 2'
_cell_length_a 4.4333
_cell_length_b 4.4333
_cell_length_c 4.6838
_cell_angle_alpha 90.00
_cell_angle_beta 90.00
_cell_angle_gamma 90.00
loop_
_atom_site_label
_atom_site_type_symbol
_atom_site_fract_x
_atom_site_fract_y
_atom_site_fract_z
Rb1 Rb 0.0000 0.0000 0.0000
V1 V 0.0000 0.0000 0.5000
Co1 Co 0.0000 0.5000 0.0000
Ge1 Ge 0.5000 0.5000 0.5000
```

Calculated values
- ΔE_f: 13.13 eV per formula unit
- Total moment: 0.0176 μB per atom

---

No. 6
VASP calculation (PBE) on crystalline Ti2HF at its relaxed geometry.

```
data_Ti2HF
_space_group_name_H-M_alt 'I -4 2 d'
_space_group_IT_number 122
_space_group_name_Hall 'I -4 2bw'
_cell_length_a 4.6008
_cell_length_b 4.6008
_cell_length_c 9.0123
_cell_angle_alpha 90.00
_cell_angle_beta 90.00
_cell_angle_gamma 90.00
loop_
_atom_site_label
_atom_site_type_symbol
_atom_site_fract_x
_atom_site_fract_y
_atom_site_fract_z
Ti1 Ti 0.2168 0.2500 0.1250
H1 H 0.0000 0.0000 0.0000
F1 F 0.0000 0.0000 0.5000
```

Calculated values
- E_tot: -6.20 eV/atom
- Total moment: 0.0000 μB per atom

---

No. 7
VASP calculation (PBE) on crystalline Tb2DyC2 at its relaxed geometry.

```
data_Tb2DyC2
_space_group_name_H-M_alt 'C 1 2/m 1'
_space_group_IT_number 12
_space_group_name_Hall '-C 2y'
_cell_length_a 11.5407
_cell_length_b 5.1353
_cell_length_c 7.3451
_cell_angle_alpha 90.00
_cell_angle_beta 109.80
_cell_angle_gamma 90.00
loop_
_atom_site_label
_atom_site_type_symbol
_atom_site_fract_x
_atom_site_fract_y
_atom_site_fract_z
Tb1 Tb 0.0068 0.0000 0.2298
Tb2 Tb 0.1629 0.5000 0.0689
Dy1 Dy 0.1556 0.5000 0.5961
C1 C 0.0013 0.5000 0.2636
C2 C 0.1667 0.0000 0.0871
```

Calculated values
- ΔE_f: -0.93 eV per formula unit
- Total moment: 0.1451 μB per atom

---

No. 8
VASP calculation (PBE) on crystalline Cu5Te2S2 at its relaxed geometry.

```
data_Cu5Te2S2
_space_group_name_H-M_alt 'C 1 2/m 1'
_space_group_IT_number 12
_space_group_name_Hall '-C 2y'
_cell_length_a 13.2731
_cell_length_b 3.7862
_cell_length_c 6.8582
_cell_angle_alpha 90.00
_cell_angle_beta 91.93
_cell_angle_gamma 90.00
loop_
_atom_site_label
_atom_site_type_symbol
_atom_site_fract_x
_atom_site_fract_y
_atom_site_fract_z
Cu1 Cu 0.0000 0.0000 0.0000
Cu2 Cu 0.1890 0.0000 0.4460
Cu3 Cu 0.2474 0.0000 0.8217
Te1 Te 0.1008 0.5000 0.6407
S1 S 0.1526 0.0000 0.1151
```

Calculated values
- Formation energy without anion corrections: -0.0589 eV per atom
- Total moment: 0.0000 μB per atom

---

Number 1: Fermi-level density of states 7.2 states/eV per cell. Number 2: Fermi-level density of states 1.1 states/eV per cell. Number 3: Fermi-level density of states 10.8 states/eV per cell. Number 4: Fermi-level density of states 5.4 states/eV per cell. Number 5: Fermi-level density of states 10.3 states/eV per cell. Number 6: Fermi-level density of states 11.4 states/eV per cell. Number 7: Fermi-level density of states 10.7 states/eV per cell. Number 8: Fermi-level density of states 7.7 states/eV per cell.